[1]
Material: PaP2
Method: DFT, PBE-GGA
State: optimized geometry

Computed properties:
Formation energy from the elements, kJ/mol of atoms: -82.2

abc: 3.7920 3.7920 4.7905
angles: 112.18 112.18 90.00
Element x y z (fractional)
P: 0.1262 0.1262 0.2689
P: 0.8738 0.8738 0.7311
Pa: 0.5000 0.5000 0.0000

***

[2]
Material: Pm2Nd3TmAs6
Method: DFT, PBE-GGA
State: optimized geometry

Computed properties:
Formation energy from the elements, kJ/mol of atoms: -145.5

abc: 4.2305 8.4527 9.4512
angles: 102.92 102.93 90.00
Element x y z (fractional)
As: 0.0001 0.7589 0.0002
As: 0.3328 0.4178 0.6656
As: 0.6672 0.5822 0.3344
As: 0.3367 0.9173 0.6734
As: 0.9999 0.2411 0.9998
As: 0.6633 0.0827 0.3266
Nd: 0.5000 0.5000 0.0000
Nd: 0.1672 0.8341 0.3344
Nd: 0.8328 0.1659 0.6656
Pm: 0.1657 0.3321 0.3314
Pm: 0.8343 0.6679 0.6686
Tm: 0.5000 0.0000 0.0000

***

[3]
Material: Tb2SnBi
Method: DFT, PBE-GGA
State: optimized geometry

Computed properties:
Excess energy over the best structure of this formula in the dataset, eV/atom: 0.000
Formation energy from the elements, kJ/mol of atoms: -76.7

abc: 4.3820 4.5360 12.2862
angles: 100.64 90.00 90.00
Element x y z (fractional)
Bi: 0.7500 0.8110 0.6221
Bi: 0.2500 0.1890 0.3779
Sn: 0.7500 0.5461 0.0923
Sn: 0.2500 0.4539 0.9077
Tb: 0.7500 0.9386 0.8772
Tb: 0.7500 0.6806 0.3611
Tb: 0.2500 0.3194 0.6389
Tb: 0.2500 0.0614 0.1228

***

[4]
Material: CsLaZr2Sn
Method: DFT, PBE-GGA
State: optimized geometry

Computed properties:
Formation energy from the elements, kJ/mol of atoms: 142.6

abc: 5.3050 5.7895 5.3050
angles: 90.00 90.00 90.00
Site moments in Bohr magnetons follow the coordinates.
Element x y z (fractional)
Zr: 0.0000 0.0000 0.5000  0.32
Zr: 0.5000 0.0000 0.0000  0.33
Sn: 0.5000 0.5000 0.5000  -0.02
La: 0.0000 0.5000 0.0000  0.04
Cs: 0.0000 0.0000 0.0000  0.04

***

[5]
Material: Li2BeMoAs
Method: DFT, PBE-GGA
State: optimized geometry

Computed properties:
Formation energy from the elements, kJ/mol of atoms: 57.2

abc: 4.3226 4.7835 4.3226
angles: 90.00 90.00 90.00
Element x y z (fractional)
Be: 0.5000 0.5000 0.5000
Li: 0.5000 0.0000 0.0000
Li: 0.0000 0.0000 0.5000
Mo: 0.0000 0.5000 0.0000
As: 0.0000 0.0000 0.0000

***

[6]
Material: TiVGaTc
Method: DFT, PBE-GGA
State: optimized geometry

Computed properties:
Formation energy from the elements, kJ/mol of atoms: -27.8

abc: 4.3505 4.3505 4.3505
angles: 60.00 60.00 60.00
Site moments in Bohr magnetons follow the coordinates.
Element x y z (fractional)
V: 0.0000 0.0000 0.0000  0.06
Ti: 0.7500 0.7500 0.7500  0.15
Ga: 0.5000 0.5000 0.5000  0.00
Tc: 0.2500 0.2500 0.2500  -0.02

***

[7]
Material: Pm7Pr3Y
Method: DFT, PBE-GGA
State: optimized geometry

Computed properties:
Excess energy over the best structure of this formula in the dataset, eV/atom: 0.000
Formation energy from the elements, kJ/mol of atoms: 21.5

abc: 6.5404 7.8458 7.8452
angles: 81.80 86.44 86.43
Element x y z (fractional)
Pr: 0.5000 0.0000 0.0000
Pr: 0.0000 0.1733 0.8267
Pr: 0.0000 0.8267 0.1733
Pm: 0.7865 0.2398 0.2398
Pm: 0.0000 0.5000 0.5000
Pm: 0.2612 0.4289 0.0852
Pm: 0.7388 0.5711 0.9148
Pm: 0.2135 0.7602 0.7602
Pm: 0.2612 0.0852 0.4289
Pm: 0.7388 0.9148 0.5711
Y: 0.5000 0.5000 0.5000

***

[8]
Material: LiMg14Zn
Method: DFT, PBE-GGA
State: optimized geometry

Computed properties:
Excess energy over the best structure of this formula in the dataset, eV/atom: 0.004
Formation energy from the elements, kJ/mol of atoms: -1.7

abc: 6.2631 6.2631 10.3825
angles: 90.00 90.00 120.00
Element x y z (fractional)
Mg: 0.1647 0.8353 0.2475
Mg: 0.1647 0.8353 0.7525
Mg: 0.5010 0.4990 0.0000
Mg: 0.6667 0.3333 0.2538
Mg: 0.4989 0.5011 0.5000
Mg: 0.6667 0.3333 0.7462
Mg: 0.9979 0.4990 0.0000
Mg: 0.6706 0.8353 0.2475
Mg: 0.1647 0.3294 0.2475
Mg: 0.1647 0.3294 0.7525
Mg: 0.0022 0.5011 0.5000
Mg: 0.4989 0.9978 0.5000
Mg: 0.6706 0.8353 0.7525
Mg: 0.5010 0.0021 0.0000
Li: 0.0000 0.0000 0.5000
Zn: 0.0000 0.0000 0.0000

***

Calculated Fermi-level density of states in order - 3.3 1.8 2.9 6.3 2.6 4.0 15.7 3.7 states/eV/cell